(1)
Below is a geometry-optimized BaNiS2O8 structure, with properties calculated at the PBE with a Hubbard U level.

Properties
Final energy: -0.4516 Ry/atom

a = 8.3897 Å, b = 5.2341 Å, c = 7.8415 Å
α = 90.00°, β = 94.36°, γ = 90.00°
With the nearest neighbours (Å) after each atom.
Space group C2/m (No. 12)
One atom of each set of equivalent atoms:
Ba: 0.0000 0.0000 0.0000  6 O 2.77-2.84
Ni: 0.0000 0.0000 0.5000  6 O 2.04-2.09
S: 0.1317 0.5000 0.2917  4 O 1.46-1.50
O: 0.0293 0.2670 0.3061  1 S 1.50
O: 0.1862 0.5000 0.1138  1 S 1.50
O: 0.2380 0.0000 0.5743  1 S 1.46

(2)
Below is a geometry-optimized Ba2ScNiO5 structure, with properties calculated at the PBE with a Hubbard U level.

Properties
Final energy: -0.4747 Ry/atom

a = 3.4358 Å, b = 15.2284 Å, c = 10.9759 Å
α = 90.00°, β = 90.00°, γ = 90.00°
With the nearest neighbours (Å) after each atom.
Space group Cmc2_1 (No. 36)
One atom of each set of equivalent atoms:
Ba: 0.0000 0.1163 0.0000  5 O 2.70-2.77
Ba: 0.0000 0.1340 0.6370  7 O 2.69-2.96
Sc: 0.0000 0.2067 0.3425  3 O 1.97-2.16
Ni: 0.0000 0.4424 0.7623  4 O 1.80-1.94
O: 0.0000 0.0523 0.3416  2 Ni 1.93
O: 0.0000 0.2936 0.9625  2 Sc 2.16
O: 0.0000 0.3208 0.7104  1 Ni 1.94
O: 0.0000 0.3356 0.3228  1 Sc 1.97
O: 0.0000 0.4987 0.6181  1 Ni 1.80

Among the records above, which one has the highest final energy? BaNiS2O8

The highest final energy belongs to which entry? BaNiS2O8

What is the final energy in the first record? -0.4516 Ry/atom

Which of these has the lowest final energy? Ba2ScNiO5